HgRuO2F | Alexandria | meta-GGA SCAN | single point on PBEsol structure; D(E_F) = 3.2 states/eV per cell; space-group type = P4/mmm (123); raw total energy = -24.558 eV per atom
1.0
-2.548 -1.637 2.312
0.279 -3.239 -1.986
3.188 -1.311 2.585
Ru O F Hg
1 2 1 1
Direct
0.000 0.000 0.000 Ru
0.000 0.500 0.000 O
0.500 0.000 0.000 O
0.000 0.000 0.500 F
0.500 0.500 0.500 Hg